Be2Cl: optimized geometry, PBE-GGA.

Computed properties:
- V: 13.4 Å³ per atom
- Excess energy over the best structure of this formula in the dataset: 1309.6 meV/atom
- E_tot: -0.0780 hartree per atom
- Crystal system: trigonal

Unit cell a=4.0884 b=4.0884 c=2.7760 alpha=90.00 beta=90.00 gamma=120.00
With the nearest neighbours (Å) after each atom.
Positions (direct):
1 Be 0.0000 0.0000 0.1476  3 Cl 2.42, 3 Be 2.58
2 Be 0.3333 0.6667 0.5190  3 Cl 2.42, 3 Be 2.58
3 Cl 0.6667 0.3333 0.3333  6 Be 2.42

Dy2Y2Er5: optimized geometry, PBE-GGA.

Computed properties:
- V: 32.0 Å³ per atom
- ΔH_f (0 K): 221 meV per atom
- Excess energy over the best structure of this formula in the dataset: 99.3 meV/atom
- E_tot: -0.1754 hartree per atom
- Crystal system: orthorhombic

Unit cell a=11.6455 b=6.6745 c=9.9966 alpha=109.50 beta=125.62 gamma=90.00
With the nearest neighbours (Å) after each atom.
Positions (direct):
1 Dy 0.0000 0.0066 0.0000  4 Er 3.22-3.57, 2 Y 3.54
2 Dy 0.5000 0.5066 0.0000  4 Er 3.22-3.57, 2 Y 3.54
3 Dy 0.2641 0.3597 0.5000  3 Er 3.30-3.39, 2 Y 3.51
4 Dy 0.7359 0.8597 0.5000  3 Er 3.30-3.39, 2 Y 3.51
5 Y 0.1199 0.6843 0.2537  4 Er 3.29-3.63, 2 Dy 3.51-3.54, 1 Y 3.65
6 Y 0.8801 0.4306 0.7463  4 Er 3.29-3.63, 2 Dy 3.51-3.54, 1 Y 3.65
7 Y 0.6338 0.1843 0.2537  4 Er 3.29-3.63, 2 Dy 3.51-3.54, 1 Y 3.65
8 Y 0.3662 0.9306 0.7463  4 Er 3.29-3.63, 2 Dy 3.51-3.54, 1 Y 3.65
9 Er 0.2057 0.6577 0.8945  4 Er 3.14-3.34, 1 Dy 3.22, 1 Y 3.29
10 Er 0.7943 0.7632 0.1055  4 Er 3.14-3.34, 1 Dy 3.22, 1 Y 3.29
11 Er 0.1889 0.1577 0.8945  4 Er 3.14-3.34, 1 Dy 3.22, 1 Y 3.29
12 Er 0.8111 0.2632 0.1055  4 Er 3.14-3.34, 1 Dy 3.22, 1 Y 3.29
13 Er 0.3806 0.0339 0.2851  4 Er 3.14-3.35, 1 Y 3.33, 1 Dy 3.39
14 Er 0.6194 0.7488 0.7149  4 Er 3.14-3.35, 1 Y 3.33, 1 Dy 3.39
15 Er 0.4045 0.5339 0.2851  4 Er 3.14-3.35, 1 Y 3.33, 1 Dy 3.39
16 Er 0.5955 0.2488 0.7149  4 Er 3.14-3.35, 1 Y 3.33, 1 Dy 3.39
17 Er 0.9931 0.6513 0.5000  4 Er 3.19-3.34, 1 Dy 3.30
18 Er 0.0069 0.1513 0.5000  4 Er 3.19-3.34, 1 Dy 3.30

La2SmHoTl2: optimized geometry, PBE-GGA.

Computed properties:
- V: 31.0 Å³ per atom
- ΔH_f (0 K): -288 meV per atom
- E_tot: -0.1569 hartree per atom
- Crystal system: orthorhombic

Unit cell a=5.1568 b=7.0031 c=10.3167 alpha=90.00 beta=90.00 gamma=90.00
With the nearest neighbours (Å) after each atom.
Positions (direct):
1 La 0.5000 0.0862 0.0621  2 La 3.25, 3 Tl 3.41-3.49
2 La 0.0000 0.3135 0.1760  2 La 3.25, 5 Tl 3.36-3.64
3 La 0.5000 0.5862 0.9379  2 La 3.25, 3 Tl 3.41-3.49
4 La 0.0000 0.8135 0.8240  2 La 3.25, 5 Tl 3.36-3.64
5 Sm 0.0000 0.9589 0.4558  5 Tl 3.25-3.46, 2 Sm 3.62, 2 Ho 3.63
6 Sm 0.0000 0.4589 0.5442  5 Tl 3.25-3.46, 2 Sm 3.62, 2 Ho 3.63
7 Ho 0.5000 0.1688 0.6939  4 Tl 3.17-3.24
8 Ho 0.5000 0.6688 0.3061  4 Tl 3.17-3.24
9 Tl 0.0000 0.2956 0.8509  2 Ho 3.17, 4 La 3.36-3.41, 1 Sm 3.36
10 Tl 0.5000 0.2226 0.3879  2 Ho 3.18-3.24, 4 Sm 3.25-3.46, 3 La 3.44-3.49
11 Tl 0.0000 0.7956 0.1491  2 Ho 3.17, 4 La 3.36-3.41, 1 Sm 3.36
12 Tl 0.5000 0.7226 0.6121  2 Ho 3.18-3.24, 4 Sm 3.25-3.46, 3 La 3.44-3.49

CoSI3: optimized geometry, PBE-GGA.

Computed properties:
- V: 33.9 Å³ per atom
- Excess energy over the best structure of this formula in the dataset: 263.0 meV/atom
- E_tot: -0.0828 hartree per atom
- Crystal system: cubic

Unit cell a=5.5346 b=5.5346 c=5.5346 alpha=90.00 beta=90.00 gamma=90.00
With the nearest neighbours (Å) after each atom.
Positions (direct):
1 I 0.0000 0.5000 0.0000  2 S 2.77
2 I 0.0000 0.0000 0.5000  2 S 2.77
3 I 0.5000 0.0000 0.0000  2 S 2.77
4 S 0.0000 0.0000 0.0000  6 I 2.77
5 Co 0.5000 0.5000 0.5000  12 I 3.91